Record 1
MgFe2Ru | SCAN | PBEsol geometry

Cell lengths 3.2490, 3.9938, 4.0263 Å; angles 90.00, 90.00, 90.00 degrees
Space group Pmmm (No. 47)
One atom of each set of equivalent atoms:
Mg (0.0000, 0.0000, 0.0000) [1 per cell]
Fe (0.0000, 0.5000, 0.5000) [1 per cell]
Fe (0.5000, 0.0000, 0.5000) [1 per cell]
Ru (0.5000, 0.5000, 0.0000) [1 per cell]

***

Record 2
TcAuS2 | SCAN | PBEsol geometry

Cell lengths 5.3684, 5.3684, 10.8518 Å; angles 90.00, 90.00, 90.00 degrees
Space group I-42d (No. 122)
One atom of each set of equivalent atoms:
Tc (0.0000, 0.0000, 0.0000) [4 per cell]
Au (0.0000, 0.0000, 0.5000) [4 per cell]
S (0.2150, 0.2500, 0.1250) [8 per cell]

***

Record 3
CrReW2 | SCAN | PBEsol geometry

Cell lengths 6.1318, 6.1318, 6.1318 Å; angles 90.00, 90.00, 90.00 degrees
Space group F-43m (No. 216)
One atom of each set of equivalent atoms:
Cr (0.0000, 0.0000, 0.0000) [4 per cell]
Re (0.2500, 0.2500, 0.7500) [4 per cell]
W (0.0000, 0.0000, 0.5000) [4 per cell]
W (0.2500, 0.2500, 0.2500) [4 per cell]

***

Record 4
Cs3MgRe | SCAN | PBEsol geometry

Cell lengths 7.2114, 7.2114, 7.2114 Å; angles 90.00, 90.00, 90.00 degrees
Space group Pm-3m (No. 221)
One atom of each set of equivalent atoms:
Cs (0.0000, 0.0000, 0.5000) [3 per cell]
Mg (0.0000, 0.0000, 0.0000) [1 per cell]
Re (0.5000, 0.5000, 0.5000) [1 per cell]

***

Number 1: raw total energy -0.6946 Ha/atom. Number 2: raw total energy -1.1367 Ha/atom. Number 3: raw total energy -2.1009 Ha/atom. Number 4: raw total energy -1.3298 Ha/atom.